Record 1
A plane-wave DFT calculation with PBE was carried out for a geometry-optimized BeInBr2 structure.

Lattice parameters (Å, degrees): 3.3434 6.3754 10.4741 90.00 90.00 90.00
Fractional positions:
Be1 0.0000 0.0000 0.0000
Be2 0.5000 0.5000 0.5000
In1 0.0000 0.0000 0.5000
In2 0.5000 0.5000 0.0000
Br1 0.0000 0.5000 0.3472
Br2 0.0000 0.5000 0.6528
Br3 0.5000 0.0000 0.1528
Br4 0.5000 0.0000 0.8472

Calculated values
- space group = Immm, No. 71



Record 2
A plane-wave DFT calculation with PBE was carried out for a geometry-optimized BeInBr2 structure.

Lattice parameters (Å, degrees): 4.1780 4.1780 13.7745 90.00 90.00 90.00
Fractional positions:
Be1 0.0000 0.0000 0.0000
Be2 0.5000 0.5000 0.5000
In1 0.0000 0.5000 0.2500
In2 0.5000 0.0000 0.7500
Br1 0.0000 0.0000 0.5000
Br2 0.0000 0.5000 0.7500
Br3 0.5000 0.0000 0.2500
Br4 0.5000 0.5000 0.0000

Calculated values
- space group = I-4m2, No. 119



Record 3
A plane-wave DFT calculation with PBE was carried out for a geometry-optimized BeInBr2 structure.

Lattice parameters (Å, degrees): 8.1143 8.1181 4.0932 90.00 116.27 90.00
Fractional positions:
Be1 0.0000 0.0000 0.0000
Be2 0.5000 0.5000 0.0000
In1 0.0000 0.5000 0.0000
In2 0.5000 0.0000 0.0000
Br1 0.2500 0.2500 0.5000
Br2 0.2500 0.7500 0.5000
Br3 0.7500 0.2500 0.5000
Br4 0.7500 0.7500 0.5000

Calculated values
- space group = C2/m, No. 12



Calculated formation energy without anion corrections in order - -26.3; 23.1; 22.9 kJ per mole of atoms